Density functional theory data (PBE-GGA) for an optimized crystal structure of PmCoSn.

- energy relative to the lowest polymorph listed for this composition (kJ/mol of formula units) = 32.5
- ΔH_f (0 K) (eV per atom) = -0.35
- symmetry = P-6m2, No. 187

Cell lengths 4.524, 4.524, 3.778 Å; angles 90.00, 90.00, 120.00 degrees
Atoms (fractional coordinates):
Pm (0.000, 0.000, 0.000)
Co (0.333, 0.667, 0.500)
Sn (0.667, 0.333, 0.500)


Density functional theory data (PBE-GGA) for an optimized crystal structure of Pm3CoSn.

- ΔH_f (0 K) (eV per atom) = -0.29
- symmetry = Pm, No. 6

Cell lengths 7.029, 5.278, 7.515 Å; angles 90.00, 93.78, 90.00 degrees
Atoms (fractional coordinates):
Pm (0.000, 0.000, 0.000)
Pm (0.098, 0.500, 0.327)
Pm (0.348, 0.000, 0.621)
Pm (0.462, 0.000, 0.147)
Pm (0.630, 0.500, 0.856)
Pm (0.836, 0.000, 0.538)
Co (0.297, 0.500, 0.060)
Co (0.656, 0.000, 0.838)
Sn (0.105, 0.500, 0.755)
Sn (0.584, 0.500, 0.363)


Density functional theory data (PBE-GGA) for an optimized crystal structure of Pm5Co2Sn2.

- ΔH_f (0 K) (eV per atom) = -0.32
- symmetry = Cmce, No. 64

Cell lengths 9.015, 9.015, 7.090 Å; angles 90.00, 90.00, 56.94 degrees
Atoms (fractional coordinates):
Pm (0.000, 0.000, 0.000)
Pm (0.063, 0.696, 0.650)
Pm (0.196, 0.563, 0.150)
Pm (0.304, 0.937, 0.650)
Pm (0.437, 0.804, 0.150)
Pm (0.500, 0.500, 0.500)
Pm (0.563, 0.196, 0.850)
Pm (0.696, 0.063, 0.350)
Pm (0.804, 0.437, 0.850)
Pm (0.937, 0.304, 0.350)
Co (0.103, 0.897, 0.386)
Co (0.397, 0.603, 0.886)
Co (0.603, 0.397, 0.114)
Co (0.897, 0.103, 0.614)
Sn (0.214, 0.214, 0.000)
Sn (0.286, 0.286, 0.500)
Sn (0.714, 0.714, 0.500)
Sn (0.786, 0.786, 0.000)


Density functional theory data (PBE-GGA) for an optimized crystal structure of Pm4CoSn.

- energy relative to the lowest polymorph listed for this composition (kJ/mol of formula units) = 37.9
- ΔH_f (0 K) (eV per atom) = -0.23
- symmetry = Cmcm, No. 63

Cell lengths 10.387, 10.387, 6.610 Å; angles 90.00, 90.00, 150.12 degrees
Atoms (fractional coordinates):
Pm (0.045, 0.955, 0.750)
Pm (0.194, 0.806, 0.002)
Pm (0.194, 0.806, 0.498)
Pm (0.405, 0.595, 0.750)
Pm (0.595, 0.405, 0.250)
Pm (0.806, 0.194, 0.502)
Pm (0.806, 0.194, 0.998)
Pm (0.955, 0.045, 0.250)
Co (0.085, 0.915, 0.250)
Co (0.915, 0.085, 0.750)
Sn (0.349, 0.651, 0.250)
Sn (0.651, 0.349, 0.750)


Density functional theory data (PBE-GGA) for an optimized crystal structure of PmCoSn.

- energy relative to the lowest polymorph listed for this composition (kJ/mol of formula units) = 49.5
- ΔH_f (0 K) (eV per atom) = -0.29
- symmetry = F-43m, No. 216

Cell lengths 4.613, 4.613, 4.613 Å; angles 60.00, 60.00, 60.00 degrees
Atoms (fractional coordinates):
Pm (0.000, 0.000, 0.000)
Co (0.250, 0.250, 0.250)
Sn (0.500, 0.500, 0.500)


Density functional theory data (PBE-GGA) for an optimized crystal structure of PmCo4Sn12.

- ΔH_f (0 K) (eV per atom) = -0.10
- symmetry = Im-3, No. 204

Cell lengths 7.984, 7.984, 7.984 Å; angles 109.47, 109.47, 109.47 degrees
Atoms (fractional coordinates):
Pm (0.000, 0.000, 0.000)
Co (0.000, 0.000, 0.500)
Co (0.000, 0.500, 0.000)
Co (0.500, 0.000, 0.000)
Co (0.500, 0.500, 0.500)
Sn (0.160, 0.331, 0.830)
Sn (0.170, 0.501, 0.331)
Sn (0.170, 0.840, 0.669)
Sn (0.331, 0.170, 0.501)
Sn (0.331, 0.830, 0.160)
Sn (0.499, 0.669, 0.830)
Sn (0.501, 0.331, 0.170)
Sn (0.669, 0.170, 0.840)
Sn (0.669, 0.830, 0.499)
Sn (0.830, 0.160, 0.331)
Sn (0.830, 0.499, 0.669)
Sn (0.840, 0.669, 0.170)


Density functional theory data (PBE-GGA) for an optimized crystal structure of PmCoSn.

- energy relative to the lowest polymorph listed for this composition (kJ/mol of formula units) = 79.9
- ΔH_f (0 K) (eV per atom) = -0.19
- symmetry = Fdd2, No. 43

Cell lengths 7.541, 6.771, 8.280 Å; angles 59.13, 50.41, 70.46 degrees
Atoms (fractional coordinates):
Pm (0.337, 0.663, 0.388)
Pm (0.638, 0.862, 0.587)
Pm (0.663, 0.337, 0.612)
Pm (0.862, 0.638, 0.913)
Co (0.256, 0.702, 0.768)
Co (0.482, 0.975, 0.994)
Co (0.702, 0.256, 0.275)
Co (0.975, 0.482, 0.548)
Sn (0.140, 0.759, 0.109)
Sn (0.141, 0.258, 0.110)
Sn (0.258, 0.141, 0.491)
Sn (0.759, 0.140, 0.992)


Density functional theory data (PBE-GGA) for an optimized crystal structure of Pm2CoSn6.

- energy relative to the lowest polymorph listed for this composition (kJ/mol of formula units) = 132.6
- ΔH_f (0 K) (eV per atom) = -0.28
- symmetry = Cmmm, No. 65

Cell lengths 8.990, 8.990, 4.101 Å; angles 90.00, 90.00, 133.75 degrees
Atoms (fractional coordinates):
Pm (0.213, 0.787, 0.000)
Pm (0.787, 0.213, 0.000)
Co (0.500, 0.500, 0.500)
Sn (0.161, 0.437, 0.500)
Sn (0.247, 0.247, 0.000)
Sn (0.437, 0.161, 0.500)
Sn (0.563, 0.839, 0.500)
Sn (0.753, 0.753, 0.000)
Sn (0.839, 0.563, 0.500)